A relaxed structure of Pr12Sm3Cd, computed with PBE.

a = 5.1568 Å, b = 5.1568 Å, c = 20.8692 Å
α = 90.00°, β = 90.00°, γ = 90.00°
Closest atoms and distances in Å follow each position.
Space group P4/mmm (No. 123)
Symmetry-distinct sites (fractional):
Pr (0.0000, 0.0000, 0.0000) [1 per cell]  8 Pr 3.60, 4 Cd 3.65
Pr (0.0000, 0.0000, 0.2451) [2 per cell]  4 Sm 3.65, 8 Pr 3.66-3.72
Pr (0.0000, 0.0000, 0.5000) [1 per cell]  4 Sm 3.65, 8 Pr 3.69
Pr (0.0000, 0.5000, 0.1207) [4 per cell]  2 Cd 3.60, 8 Pr 3.60-3.66, 2 Sm 3.68
Pr (0.0000, 0.5000, 0.3733) [4 per cell]  8 Pr 3.65-3.72, 4 Sm 3.69
Sm (0.5000, 0.5000, 0.2467) [2 per cell]  12 Pr 3.65-3.69
Sm (0.5000, 0.5000, 0.5000) [1 per cell]  12 Pr 3.65-3.69
Cd (0.5000, 0.5000, 0.0000) [1 per cell]  12 Pr 3.60-3.65

Summary:
The crystal system is tetragonal. The value obtained for the formation energy is -19 kJ/mol of formula units. The uncorrected energy comes out at -4.539 eV per atom.

***

A relaxed structure of Y3Re4, computed with PBE.

a = 5.8389 Å, b = 5.8389 Å, c = 4.8705 Å
α = 90.00°, β = 90.00°, γ = 120.00°
Closest atoms and distances in Å follow each position.
Space group P6/mmm (No. 191)
Symmetry-distinct sites (fractional):
Y (0.0000, 0.5000, 0.0000) [3 per cell]  4 Y 2.92, 8 Re 2.96-3.15
Re (0.0000, 0.0000, 0.2414) [2 per cell]  2 Re 2.35-2.52
Re (0.3333, 0.6667, 0.5000) [2 per cell]  6 Y 2.96

Summary:
The crystal system is hexagonal. As for the energy above the most stable polymorph in this dataset: 1.0434 eV/atom. The value obtained for the formation energy is 749 kJ/mol of formula units. The uncorrected energy comes out at -8.774 eV per atom.

***

A relaxed structure of NaSc3, computed with PBE.

a = 4.6529 Å, b = 4.6529 Å, c = 9.6240 Å
α = 90.00°, β = 90.00°, γ = 90.00°
Closest atoms and distances in Å follow each position.
Space group I4/mmm (No. 139)
Symmetry-distinct sites (fractional):
Na (0.0000, 0.0000, 0.0000) [2 per cell]  12 Sc 3.29-3.35
Sc (0.0000, 0.0000, 0.5000) [2 per cell]  4 Na 3.29, 8 Sc 3.35
Sc (0.0000, 0.5000, 0.2500) [4 per cell]  8 Sc 3.29-3.35, 4 Na 3.35

Summary:
The crystal system is tetragonal. The value obtained for the formation energy is 147 kJ/mol of formula units. The uncorrected energy comes out at -4.696 eV per atom.

***

A relaxed structure of CaCeInN3, computed with PBE.

a = 6.0378 Å, b = 3.5297 Å, c = 8.6756 Å
α = 90.00°, β = 98.76°, γ = 90.00°
Closest atoms and distances in Å follow each position.
Space group P2_1/m (No. 11)
Symmetry-distinct sites (fractional):
Ca (0.1366, 0.2500, 0.1778) [2 per cell]  5 N 2.58-2.64
Ce (0.2596, 0.7500, 0.5472) [2 per cell]  6 N 2.27-2.46
In (0.3671, 0.2500, 0.8634) [2 per cell]  4 N 2.21-2.43
N (0.0387, 0.2500, 0.6490) [2 per cell]  3 Ce 2.28-2.46, 1 In 2.50
N (0.2582, 0.7500, 0.9860) [2 per cell]  3 In 2.21-2.43
N (0.4720, 0.7500, 0.3525) [2 per cell]  1 In 2.24, 3 Ce 2.27-2.46

Summary:
For the raw formation energy, the calculation gives -0.77 eV/atom. The crystal system is monoclinic. The uncorrected energy comes out at -6.708 eV per atom.

***

A relaxed structure of Li2CdInHg5, computed with PBE.

a = 7.0197 Å, b = 7.0197 Å, c = 17.2594 Å
α = 90.00°, β = 90.00°, γ = 90.00°
Closest atoms and distances in Å follow each position.
Space group I4/mcm (No. 140)
Symmetry-distinct sites (fractional):
Li (0.1339, 0.3661, 0.0000) [8 per cell]  1 Li 2.66, 4 Hg 2.71-2.74
Cd (0.0000, 0.0000, 0.2500) [4 per cell]  8 Hg 3.36, 4 In 3.51
In (0.0000, 0.5000, 0.2500) [4 per cell]  4 Hg 2.93
Hg (0.0000, 0.0000, 0.0000) [4 per cell]  4 Li 2.74
Hg (0.1957, 0.3043, 0.3771) [16 per cell]  1 Li 2.71, 1 In 2.93

Summary:
The crystal system is tetragonal. The value obtained for the formation energy is -76 kJ/mol of formula units. The uncorrected energy comes out at -1.087 eV per atom.

***

A relaxed structure of Ti7Zn2Co, computed with PBE.

a = 9.1286 Å, b = 9.1286 Å, c = 9.1286 Å
α = 90.00°, β = 90.00°, γ = 90.00°
Closest atoms and distances in Å follow each position.
Space group Fm-3m (No. 225)
Symmetry-distinct sites (fractional):
Ti (0.0000, 0.0000, 0.0000) [4 per cell]  6 Ti 2.33
Ti (0.0000, 0.0000, 0.2556) [24 per cell]  1 Co 2.23, 1 Ti 2.33
Zn (0.2500, 0.2500, 0.2500) [8 per cell]  12 Ti 3.23
Co (0.0000, 0.0000, 0.5000) [4 per cell]  6 Ti 2.23

Summary:
The crystal system is cubic. The value obtained for the formation energy is 601 kJ/mol of formula units. The uncorrected energy comes out at -5.869 eV per atom.